First-principles (PBE+U) data for crystalline Mg6FeSnO8 at its relaxed geometry, as listed in Alexandria.

abc: 4.474 4.474 8.800
angles: 90.00 90.00 90.00
Positions (direct):
Mg  0.500  0.500  0.000
Mg  0.500  0.500  0.500
Mg  0.000  0.500  0.238
Mg  0.000  0.500  0.762
Mg  0.500  0.000  0.238
Mg  0.500  0.000  0.762
Fe  0.000  0.000  0.000
Sn  0.000  0.000  0.500
O  0.000  0.000  0.230
O  0.000  0.000  0.770
O  0.500  0.500  0.249
O  0.500  0.500  0.751
O  0.000  0.500  0.000
O  0.000  0.500  0.500
O  0.500  0.000  0.000
O  0.500  0.000  0.500

## Properties
Energy relative to the lowest polymorph listed for this composition   0.5 kJ per mole of atoms